# 1
Entry from Alexandria: an optimized crystal structure of Th2TlIn (PBE-GGA).

Properties
total moment	0.00	μB per cell
E	-5.0991	eV per atom
N(E_F)	4.2	states/eV/f.u.
formation energy from the elements	-0.11	eV/atom

Cell: 3.4641 3.4641 33.8379 Å, 90.00 90.00 120.00°
Space group R-3m (No. 166, hexagonal axes)
Unique sites:
Th  0.0000  0.0000  0.2494 x6
Tl  0.0000  0.0000  0.0000 x3
In  0.0000  0.0000  0.5000 x3

# 2
Entry from Alexandria: an optimized crystal structure of Th2TlIn2 (PBE-GGA).

Properties
total moment	0.00	μB per cell
E	-4.7327	eV per atom
N(E_F)	2.9	states/eV/f.u.
formation energy from the elements	-0.20	eV/atom

Cell: 3.5518 4.9084 16.1847 Å, 90.00 90.00 90.00°
Space group Amm2 (No. 38)
Unique sites:
Th  0.0000  0.0000  0.0000 x2
Th  0.0000  0.0000  0.2217 x2
Tl  0.5000  0.0000  0.4120 x2
In  0.5000  0.0000  0.6127 x2
In  0.5000  0.0000  0.8094 x2

# 3
Entry from Alexandria: an optimized crystal structure of ThTlIn2 (PBE-GGA).

Properties
total moment	0.00	μB per cell
E	-4.0872	eV per atom
N(E_F)	2.7	states/eV/f.u.
formation energy from the elements	-0.27	eV/atom

Cell: 4.7633 4.7633 4.7791 Å, 90.00 90.00 90.00°
Space group P4/mmm (No. 123)
Unique sites:
Th  0.0000  0.0000  0.0000 x1
Tl  0.5000  0.5000  0.0000 x1
In  0.0000  0.5000  0.5000 x2

# 4
Entry from Alexandria: an optimized crystal structure of ThTlIn (PBE-GGA).

Properties
total moment	0.00	μB per cell
E	-3.7757	eV per atom
N(E_F)	2.9	states/eV/f.u.
formation energy from the elements	0.40	eV/atom

Cell: 10.2964 12.2163 13.7768 Å, 90.00 90.00 90.00°
Space group Fddd (No. 70, origin choice 2)
Unique sites:
Th  0.0310  0.3750  0.3750 x16
Tl  0.1250  0.1250  0.3291 x16
In  0.0000  0.0000  0.5000 x16

Copy entry 4 word for word.
Entry from Alexandria: an optimized crystal structure of ThTlIn (PBE-GGA).

Properties
total moment	0.00	μB per cell
E	-3.7757	eV per atom
N(E_F)	2.9	states/eV/f.u.
formation energy from the elements	0.40	eV/atom

Cell: 10.2964 12.2163 13.7768 Å, 90.00 90.00 90.00°
Space group Fddd (No. 70, origin choice 2)
Unique sites:
Th  0.0310  0.3750  0.3750 x16
Tl  0.1250  0.1250  0.3291 x16
In  0.0000  0.0000  0.5000 x16

Among the records above, which one has the highest E?
ThTlIn